(1)
Here is crystalline K3TiGe2O8 at its relaxed geometry from Alexandria via LeMat-Bulk. Energies are from GGA-PBE.

Unit cell a=5.6721 b=5.6721 c=7.6098 alpha=90.00 beta=90.00 gamma=120.00
Sites, in units of the cell vectors:
K1 0.0000 0.0000 0.0000
K2 0.3333 0.6667 0.6999
K3 0.6667 0.3333 0.3001
Ti1 0.0000 0.0000 0.5000
Ge1 0.3333 0.6667 0.2676
Ge2 0.6667 0.3333 0.7324
O1 0.1633 0.3266 0.3479
O2 0.1633 0.8367 0.3479
O3 0.3266 0.1633 0.6521
O4 0.3333 0.6667 0.0384
O5 0.6667 0.3333 0.9616
O6 0.6734 0.8367 0.3479
O7 0.8367 0.1633 0.6521
O8 0.8367 0.6734 0.6521

Values from the calculation:
Total magnetic moment, μB per cell: 1.1
E, Ry/atom: -0.4547
E_form (uncorrected), eV/atom: -1.894



(2)
Here is crystalline Sm4RhSe2Br at its relaxed geometry from Alexandria via LeMat-Bulk. Energies are from GGA-PBE.

Unit cell a=7.3650 b=4.0668 c=7.3725 alpha=90.00 beta=108.29 gamma=90.00
Sites, in units of the cell vectors:
Sm1 0.2314 0.0000 0.2216
Sm2 0.2596 0.5000 0.7711
Sm3 0.7404 0.5000 0.2289
Sm4 0.7686 0.0000 0.7784
Rh1 0.0000 0.5000 0.0000
Se1 0.5000 0.0000 0.0000
Se2 0.5000 0.5000 0.5000
Br1 0.0000 0.0000 0.5000

Values from the calculation:
Total magnetic moment, μB per cell: 0.0
E, Ry/atom: -0.4202
E_form (uncorrected), eV/atom: -1.358



(3)
Here is crystalline As3PtW at its relaxed geometry from Alexandria via LeMat-Bulk. Energies are from GGA-PBE.

Unit cell a=4.8230 b=4.8230 c=4.8230 alpha=90.00 beta=90.00 gamma=90.00
Sites, in units of the cell vectors:
As1 0.0000 0.0000 0.5000
As2 0.0000 0.5000 0.0000
As3 0.5000 0.0000 0.0000
Pt1 0.5000 0.5000 0.5000
W1 0.0000 0.0000 0.0000

Values from the calculation:
Total magnetic moment, μB per cell: 0.0
E above lowest polymorph, meV per atom: 0
E, Ry/atom: -0.4266
Formation energy from the elements, eV per atom: 0.785



(4)
Here is crystalline TaNiSb2 at its relaxed geometry from Alexandria via LeMat-Bulk. Energies are from GGA-PBE.

Unit cell a=9.4429 b=3.2055 c=5.5053 alpha=90.00 beta=112.43 gamma=90.00
Sites, in units of the cell vectors:
Ta1 0.0000 0.0000 0.0000
Ta2 0.5000 0.5000 0.0000
Ni1 0.0000 0.5000 0.5000
Ni2 0.5000 0.0000 0.5000
Sb1 0.2234 0.0000 0.7461
Sb2 0.2766 0.5000 0.2539
Sb3 0.7234 0.5000 0.7461
Sb4 0.7766 0.0000 0.2539

Values from the calculation:
Total magnetic moment, μB per cell: 0.0
E above lowest polymorph, meV per atom: 363
E, Ry/atom: -0.4540
E_form (uncorrected), eV/atom: 0.293